Version one
The following is a DFT calculation (SCAN) of a crystal of SbTe2 relaxed with PBEsol.

Unit cell a=3.8219 b=3.9243 c=12.5102 alpha=99.02 beta=98.79 gamma=90.00
Sites, in units of the cell vectors:
Te 0.4403 0.1903 0.8805
Te 0.5597 0.8097 0.1195
Te 0.2948 0.0448 0.5896
Te 0.7052 0.9552 0.4104
Sb 0.8837 0.6337 0.7674
Sb 0.1163 0.3663 0.2326

## Properties
**Volume**: 30.51 Å³ per atom

Version two
The following is a DFT calculation (SCAN) of a crystal of SbTe2 relaxed with PBEsol.

Unit cell a=4.3281 b=4.3281 c=5.6684 alpha=90.00 beta=90.00 gamma=120.00
Sites, in units of the cell vectors:
Sb 0.0000 0.0000 0.0000
Te 0.6667 0.3333 0.6866
Te 0.3333 0.6667 0.3134

## Properties
**Volume**: 30.65 Å³ per atom

The least stable of them is version one.